## PmSm2Hg3 (PBE)

Data for a relaxed PmSm2Hg3 crystal.

Structure (extended XYZ):
```
6
Lattice="3.8035 0.0000 0.0000 0.0000 3.8035 0.0000 0.0000 0.0000 11.3996" Properties=species:S:1:pos:R:3 pbc="T T T"
Sm 1.9018 1.9018 1.8942
Sm 1.9018 1.9018 9.5054
Hg 0.0000 0.0000 3.7768
Hg 0.0000 0.0000 7.6228
Hg 0.0000 0.0000 0.0000
Pm 1.9018 1.9018 5.6998
```

Output
For the density of states at the Fermi level, the calculation gives 7.30 states/eV/f.u. The calculation puts the electronic total energy at -2.989 eV/atom. The formation energy is -2.84 eV/f.u. The space group is P4/mmm, No. 123.



## PmSm3Hg (PBE)

Data for a relaxed PmSm3Hg crystal.

Structure (extended XYZ):
```
10
Lattice="1.8083 11.0557 1.1972 -1.8083 11.0557 1.1972 0.0000 1.3340 8.1325" Properties=species:S:1:pos:R:3 pbc="T T T"
Sm 0.0000 8.5550 1.2032
Sm 0.0000 18.8940 5.6678
Sm 0.0000 1.3117 6.1919
Sm 0.0000 22.1336 4.3349
Sm 0.0000 4.5513 4.8590
Sm 0.0000 14.8903 9.3237
Pm 0.0000 6.8488 7.3172
Pm 0.0000 16.5965 3.2096
Hg 0.0000 13.3830 4.5526
Hg 0.0000 10.0624 5.9742
```

Output
For the density of states at the Fermi level, the calculation gives 5.97 states/eV/f.u. The calculation puts the electronic total energy at -3.927 eV/atom. The distance to the lowest polymorph of the same formula is 0.008 eV/atom. The formation energy is -0.43 eV/f.u. The space group is C2/m, No. 12.



## Pm12Sm5Hg2 (PBE)

Data for a relaxed Pm12Sm5Hg2 crystal.

Structure (extended XYZ):
```
19
Lattice="-6.5289 2.3355 6.3592 4.9842 -10.9248 2.1694 3.2379 7.9708 0.3969" Properties=species:S:1:pos:R:3 pbc="T T T"
Pm 1.1913 0.6318 0.9911
Pm 1.3761 -3.7389 5.4540
Pm 0.5019 -1.2503 7.9345
Pm 6.2715 -0.1073 2.0672
Pm -0.4339 6.5662 4.1030
Pm -2.1857 4.0156 5.9093
Pm 3.8789 -4.6341 3.0163
Pm 2.1271 -7.1847 4.8225
Pm -4.5783 -0.5112 6.8584
Pm 2.1337 1.3728 6.0975
Pm 0.3171 3.1204 3.4716
Pm -0.4405 -1.9913 2.8281
Hg -4.5407 1.6243 4.4227
Hg -1.9882 0.7112 1.9366
Sm -1.4443 0.5700 5.2678
Sm 3.1376 -1.1885 3.6578
Sm 1.6189 3.9854 0.1985
Sm 3.6541 2.4258 2.8606
Sm -1.9608 -3.0443 6.0649
```

Output
For the density of states at the Fermi level, the calculation gives 28.96 states/eV/f.u. The calculation puts the electronic total energy at -4.272 eV/atom. The formation energy is 0.03 eV/f.u. The space group is C2/m, No. 12.



## Pm3SmHg2 (PBE)

Data for a relaxed Pm3SmHg2 crystal.

Structure (extended XYZ):
```
6
Lattice="3.7490 0.0000 0.0000 0.0000 3.7490 0.0000 0.0000 0.0000 12.7707" Properties=species:S:1:pos:R:3 pbc="T T T"
Pm 0.0000 0.0000 8.8810
Pm 0.0000 0.0000 0.0000
Pm 0.0000 0.0000 3.8897
Hg 1.8745 1.8745 1.9745
Hg 1.8745 1.8745 10.7962
Sm 1.8745 1.8745 6.3853
```

Output
For the density of states at the Fermi level, the calculation gives 6.83 states/eV/f.u. The calculation puts the electronic total energy at -3.568 eV/atom. The distance to the lowest polymorph of the same formula is 0.030 eV/atom. The formation energy is -1.83 eV/f.u. The space group is P4/mmm, No. 123.



## PmSm3Hg4 (PBE)

Data for a relaxed PmSm3Hg4 crystal.

Structure (extended XYZ):
```
8
Lattice="-0.8982 -3.5568 -0.8752 7.4160 -1.5665 -1.2447 -2.3904 0.4040 8.9374" Properties=species:S:1:pos:R:3 pbc="T T T"
Hg 1.9852 -2.8103 1.2579
Hg 2.1422 -1.9090 5.5596
Hg -0.8577 -1.2760 6.0660
Hg 4.9851 -3.4433 0.7514
Pm -0.4491 -1.7784 -0.4376
Sm 3.7080 -0.7832 -0.6224
Sm 0.3488 -0.8712 3.1827
Sm 3.7786 -3.8481 3.6348
```

Output
For the density of states at the Fermi level, the calculation gives 7.48 states/eV/f.u. The calculation puts the electronic total energy at -2.841 eV/atom. The distance to the lowest polymorph of the same formula is 0.147 eV/atom. The formation energy is -2.61 eV/f.u. The space group is Immm, No. 71.



## Pm2Sm3Hg2 (PBE)

Data for a relaxed Pm2Sm3Hg2 crystal.

Structure (extended XYZ):
```
7
Lattice="-2.8732 -2.2844 0.2570 2.0595 -2.3842 1.8318 -2.8558 8.1029 13.7571" Properties=species:S:1:pos:R:3 pbc="T T T"
Sm 0.0000 0.0000 0.0000
Sm -2.5901 4.6778 12.6256
Sm -1.0795 -1.2436 3.2203
Pm -1.5256 2.9516 9.1820
Pm -2.1440 0.4826 6.6638
Hg -1.1998 1.9457 3.8814
Hg -4.5292 3.8728 10.1327
```

Output
For the density of states at the Fermi level, the calculation gives 8.13 states/eV/f.u. The calculation puts the electronic total energy at -3.662 eV/atom. The distance to the lowest polymorph of the same formula is 0.041 eV/atom. The formation energy is -1.37 eV/f.u. The space group is Cmmm, No. 65.



## PmSm5Hg4 (PBE)

Data for a relaxed PmSm5Hg4 crystal.

Structure (extended XYZ):
```
10
Lattice="3.7589 0.0000 0.0000 0.0000 3.7589 0.0000 0.0000 0.0000 20.3201" Properties=species:S:1:pos:R:3 pbc="T T T"
Pm 0.0000 0.0000 0.0000
Hg 0.0000 0.0000 15.9611
Hg 0.0000 0.0000 4.3591
Hg 0.0000 0.0000 12.0874
Hg 0.0000 0.0000 8.2328
Sm 1.8794 1.8794 17.8338
Sm 1.8794 1.8794 10.1601
Sm 1.8794 1.8794 13.9806
Sm 1.8794 1.8794 2.4864
Sm 1.8794 1.8794 6.3395
```

Output
For the density of states at the Fermi level, the calculation gives 12.13 states/eV/f.u. The calculation puts the electronic total energy at -3.326 eV/atom. The formation energy is -3.71 eV/f.u. The space group is P4/mmm, No. 123.



## PmSm3Hg (PBE)

Data for a relaxed PmSm3Hg crystal.

Structure (extended XYZ):
```
10
Lattice="6.7819 -0.3777 -1.0865 -2.2189 6.4198 1.0865 -3.3993 -2.1768 7.9416" Properties=species:S:1:pos:R:3 pbc="T T T"
Sm 0.1808 2.2374 1.3455
Sm -1.2968 -1.3908 6.5961
Sm 3.7019 1.9484 1.6402
Sm 0.9829 1.6278 6.5961
Sm -2.5381 1.9168 6.3014
Sm 2.4605 5.2560 1.3455
Pm -0.8002 5.3484 2.7375
Pm 1.9639 -1.4832 5.2041
Hg -0.5780 0.4365 3.9749
Hg 1.7417 3.4287 3.9667
```

Output
For the density of states at the Fermi level, the calculation gives 4.89 states/eV/f.u. The calculation puts the electronic total energy at -3.936 eV/atom. The distance to the lowest polymorph of the same formula is 0.000 eV/atom. The formation energy is -0.47 eV/f.u. The space group is C2/m, No. 12.



One value per record, in order, for magnetization: 0.1902; 0.0000; 0.0000; 0.0574; 0.0000; 0.1344; 0.1279; 0.0000 μB/atom.